Record 1
Compound: PrMnZnPt3
Source: Alexandria via LeMat-Bulk
Functional: GGA-PBE
Structure: relaxed

The formation energy comes out at -2.73 eV/f.u. The crystal system is orthorhombic.

Unit cell a=5.6524 b=6.6259 c=7.0095 alpha=118.21 beta=90.00 gamma=90.00
Site moments in Bohr magnetons follow the coordinates.
Fractional coordinates of all 12 atoms:
1 Pr 0.7500 0.2997 0.5994  -0.03
2 Pr 0.2500 0.7003 0.4006  -0.03
3 Mn 0.2500 0.9393 0.8787  3.54
4 Mn 0.7500 0.0607 0.1213  3.54
5 Zn 0.2500 0.3570 0.7140  0.00
6 Zn 0.7500 0.6430 0.2860  0.00
7 Pt 0.2500 0.1535 0.3069  0.09
8 Pt 0.0000 0.2935 0.0000  0.09
9 Pt 0.5000 0.7065 0.0000  0.09
10 Pt 0.5000 0.2935 0.0000  0.09
11 Pt 0.0000 0.7065 0.0000  0.09
12 Pt 0.7500 0.8465 0.6931  0.09

---

Record 2
Compound: Sb
Source: Alexandria via LeMat-Bulk
Functional: GGA-PBE
Structure: relaxed

The formation energy from raw total energies is 0.244 eV/atom. The crystal system is cubic. The excess energy over the best structure of this formula in the dataset comes out at 244 meV per atom.

Unit cell a=3.2909 b=3.2909 c=3.2909 alpha=109.47 beta=109.47 gamma=109.47
Fractional coordinates of all 1 atoms:
1 Sb 0.0000 0.0000 0.0000

---

Record 3
Compound: PrNi4B
Source: Alexandria via LeMat-Bulk
Functional: GGA-PBE
Structure: relaxed

The formation energy comes out at -1.55 eV/f.u. The crystal system is orthorhombic.

Unit cell a=3.4507 b=6.5367 c=7.0077 alpha=90.00 beta=90.00 gamma=90.00
Fractional coordinates of all 12 atoms:
1 Pr 0.0000 0.6010 0.7500
2 Pr 0.0000 0.3990 0.2500
3 Ni 0.0000 0.0000 0.5000
4 Ni 0.0000 0.0000 0.0000
5 Ni 0.5000 0.9537 0.7500
6 Ni 0.5000 0.0463 0.2500
7 Ni 0.5000 0.7321 0.0736
8 Ni 0.5000 0.2679 0.9264
9 Ni 0.5000 0.7321 0.4264
10 Ni 0.5000 0.2679 0.5736
11 B 0.0000 0.1618 0.7500
12 B 0.0000 0.8382 0.2500

---

Record 4
Compound: Ce2HoErAs4
Source: Alexandria via LeMat-Bulk
Functional: GGA-PBE
Structure: relaxed

The formation energy comes out at -11.79 eV/f.u. The crystal system is monoclinic.

Unit cell a=4.1567 b=7.1811 c=7.2012 alpha=70.48 beta=90.00 gamma=90.00
Site moments in Bohr magnetons follow the coordinates.
Fractional coordinates of all 8 atoms:
1 Ce 0.0000 0.0000 0.0000  0.60
2 Ce 0.5000 0.0000 0.5000  0.59
3 Ho 0.5000 0.5000 0.0000  0.00
4 Er 0.0000 0.5000 0.5000  0.00
5 As 0.0000 0.7440 0.7514  -0.02
6 As 0.0000 0.2560 0.2486  -0.02
7 As 0.5000 0.7435 0.2527  -0.02
8 As 0.5000 0.2565 0.7473  -0.02

---

Record 5
Compound: LiTb3Pt8
Source: Alexandria via LeMat-Bulk
Functional: GGA-PBE
Structure: relaxed

The formation energy comes out at -12.08 eV/f.u. The crystal system is trigonal.

Unit cell a=5.4162 b=5.4162 c=9.3416 alpha=73.15 beta=73.15 gamma=60.00
Fractional coordinates of all 12 atoms:
1 Li 0.8667 0.8667 0.3998
2 Tb 0.3785 0.3785 0.8645
3 Tb 0.9911 0.9911 0.0267
4 Tb 0.5070 0.5070 0.4790
5 Pt 0.9414 0.4372 0.1843
6 Pt 0.4369 0.9385 0.6860
7 Pt 0.4372 0.4372 0.1843
8 Pt 0.9385 0.9385 0.6860
9 Pt 0.1886 0.1886 0.4342
10 Pt 0.6884 0.6884 0.9349
11 Pt 0.4372 0.9414 0.1843
12 Pt 0.9385 0.4369 0.6860

---

Record 6
Compound: La4PrEr4
Source: Alexandria via LeMat-Bulk
Functional: GGA-PBE
Structure: relaxed

The formation energy comes out at 0.29 eV/f.u. The crystal system is tetragonal.

Unit cell a=5.1617 b=8.1276 c=8.1276 alpha=84.21 beta=71.49 gamma=71.49
Fractional coordinates of all 9 atoms:
1 La 0.6680 0.6642 0.9998
2 La 0.3320 0.3358 0.0002
3 La 0.6678 0.0002 0.6642
4 La 0.3322 0.9998 0.3358
5 Pr 0.0000 0.0000 0.0000
6 Er 0.6617 0.3384 0.3382
7 Er 0.3383 0.6616 0.6618
8 Er 0.9999 0.6618 0.3384
9 Er 0.0001 0.3382 0.6616

---

Record 7
Compound: Tb2CePd
Source: Alexandria via LeMat-Bulk
Functional: GGA-PBE
Structure: relaxed

The formation energy comes out at -1.44 eV/f.u. The crystal system is tetragonal. The excess energy over the best structure of this formula in the dataset comes out at 0 meV per atom.

Unit cell a=3.5361 b=3.5361 c=8.4504 alpha=90.00 beta=90.00 gamma=90.00
Site moments in Bohr magnetons follow the coordinates.
Fractional coordinates of all 4 atoms:
1 Tb 0.0000 0.0000 0.7982  0.05
2 Tb 0.0000 0.0000 0.2018  0.05
3 Pd 0.5000 0.5000 0.0000  0.01
4 Ce 0.5000 0.5000 0.5000  0.64

---

Record 8
Compound: Dy8Y2Tl
Source: Alexandria via LeMat-Bulk
Functional: GGA-PBE
Structure: relaxed

The formation energy comes out at -0.34 eV/f.u. The crystal system is monoclinic.

Unit cell a=5.5564 b=6.4305 c=10.0683 alpha=85.29 beta=106.02 gamma=90.00
Fractional coordinates of all 11 atoms:
1 Dy 0.4210 0.5972 0.8420
2 Dy 0.6613 0.8793 0.3226
3 Dy 0.8461 0.8022 0.6922
4 Dy 0.9558 0.2671 0.9117
5 Dy 0.1539 0.1978 0.3078
6 Dy 0.3387 0.1207 0.6774
7 Dy 0.5790 0.4028 0.1580
8 Dy 0.0442 0.7329 0.0883
9 Y 0.7575 0.3326 0.5150
10 Y 0.2425 0.6674 0.4850
11 Tl 0.5000 0.0000 0.0000

---

Record 9
Compound: TaCr2Os
Source: Alexandria via LeMat-Bulk
Functional: GGA-PBE
Structure: relaxed

The formation energy comes out at 1.17 eV/f.u. The crystal system is trigonal. The excess energy over the best structure of this formula in the dataset comes out at 329 meV per atom.

Unit cell a=8.3157 b=8.3157 c=8.3157 alpha=19.70 beta=19.70 gamma=19.70
Fractional coordinates of all 4 atoms:
1 Cr 0.9914 0.9914 0.9914
2 Cr 0.2558 0.2558 0.2558
3 Os 0.5064 0.5064 0.5064
4 Ta 0.7464 0.7464 0.7464

---

Record 10
Compound: OsPbCl2
Source: Alexandria via LeMat-Bulk
Functional: GGA-PBE
Structure: relaxed

The formation energy from raw total energies is 0.667 eV/atom. The crystal system is orthorhombic. The excess energy over the best structure of this formula in the dataset comes out at 556 meV per atom.

Unit cell a=3.1312 b=5.7534 c=4.6395 alpha=90.00 beta=90.00 gamma=90.00
Site moments in Bohr magnetons follow the coordinates.
Fractional coordinates of all 4 atoms:
1 Pb 0.0000 0.5000 0.5000  -0.01
2 Os 0.5000 0.0000 0.5000  1.45
3 Cl 0.0000 0.0000 0.0000  0.03
4 Cl 0.5000 0.5000 0.0000  0.02